Here is a relaxed ZnPb2WO6 crystal from the Alexandria database. Energies are from PBE+U.

Calculated values
Space group: Fm-3m, No. 225
E_tot (eV per atom): -6.0887

Cell and atoms, written as CIF:
```
data_ZnPb2WO6
_symmetry_space_group_name_H-M 'P 1'
_symmetry_Int_Tables_number 1
_cell_length_a 5.7405
_cell_length_b 5.7405
_cell_length_c 5.7405
_cell_angle_alpha 60.00
_cell_angle_beta 60.00
_cell_angle_gamma 60.00
loop_
_symmetry_equiv_pos_as_xyz
'x,y,z'
loop_
_atom_site_label
_atom_site_type_symbol
_atom_site_fract_x
_atom_site_fract_y
_atom_site_fract_z
Zn1 Zn 0.0000 0.0000 0.0000
Pb1 Pb 0.2500 0.2500 0.2500
Pb2 Pb 0.7500 0.7500 0.7500
W1 W 0.5000 0.5000 0.5000
O1 O 0.2595 0.2595 0.7405
O2 O 0.2595 0.7405 0.2595
O3 O 0.2595 0.7405 0.7405
O4 O 0.7405 0.2595 0.2595
O5 O 0.7405 0.2595 0.7405
O6 O 0.7405 0.7405 0.2595
```